Entry 1:
{
  "formula": "ReWBr",
  "functional": "GGA-PBE",
  "state": "optimized geometry",
  "volume_a3_per_fu": 52.6,
  "dos_ef_per_ev_atom": 1.453,
  "polymorph_energy_ev_per_atom": 1.534,
  "final_energy_ev_per_atom": -6.897,
  "space_group": "F-43m, No. 216",
  "lattice_angstrom": [[-0.8344, -1.4741, -3.8480], [1.3301, -3.8283, -1.1187], [-2.7684, -3.1245, -0.4996]],
  "species": ["Re", "Br", "W"],
  "frac_coords": [[0.0000, 0.0000, 0.0000], [0.7500, 0.7500, 0.7500], [0.5000, 0.5000, 0.5000]]
}

---

Entry 2:
{
  "formula": "CsNa2CdI6",
  "functional": "GGA-PBE",
  "state": "optimized geometry",
  "volume_a3_per_fu": 559.6,
  "final_energy_ev_per_atom": -2.290,
  "space_group": "C2/c, No. 15",
  "lattice_angstrom": [[-8.4329, -4.1154, -1.7260], [1.9011, -11.3047, -2.5315], [-5.8431, -0.7565, 10.1541]],
  "species": ["I", "I", "Na", "Na", "I", "Cs", "Cd", "Na", "Na", "I", "I", "I", "I", "I", "I", "I", "I", "I", "Cs", "Cd"],
  "frac_coords": [[0.7138, 0.7932, 0.9256], [0.5446, 0.1282, 0.6528], [0.5966, 0.2867, 0.4775], [0.9034, 0.5225, 0.7133], [0.0446, 0.6528, 0.1282], [0.2500, 0.8904, 0.1096], [0.2500, 0.1624, 0.8376], [0.0966, 0.4775, 0.2867], [0.4034, 0.7133, 0.5225], [0.5748, 0.5512, 0.6640], [0.4554, 0.8718, 0.3472], [0.2862, 0.2068, 0.0744], [0.2138, 0.9256, 0.7932], [0.9554, 0.3472, 0.8718], [0.7862, 0.0744, 0.2068], [0.4252, 0.4488, 0.3360], [0.9252, 0.3360, 0.4488], [0.0748, 0.6640, 0.5512], [0.7500, 0.1096, 0.8904], [0.7500, 0.8376, 0.1624]]
}